{
  "formula": "CuReNi",
  "functional": "GGA-PBE",
  "state": "relaxed",
  "energy_ha_per_atom": -0.2666,
  "spacegroup": "I4/mmm",
  "relative_energy_ev_per_atom": 0.1453,
  "magmom_total_mub_per_cell": 0.00,
  "vol_a3_per_fu": 39.1,
  "e_form_ev_per_fu": 0.6,
  "cell": [[2.616, 0.000, 0.000], [0.000, 2.616, 0.000], [-1.308, -1.308, 11.422]],
  "species": ["Cu", "Cu", "Ni", "Ni", "Re", "Re"],
  "fractional_positions": [[0.289, 0.289, 0.577], [0.711, 0.711, 0.423], [0.135, 0.135, 0.270], [0.865, 0.865, 0.730], [0.556, 0.556, 0.112], [0.444, 0.444, 0.888]]
}

***

{
  "formula": "La4Pm4Nd3",
  "functional": "GGA-PBE",
  "state": "relaxed",
  "energy_ha_per_atom": -0.1722,
  "spacegroup": "Amm2",
  "relative_energy_ev_per_atom": 0.0126,
  "magmom_total_mub_per_cell": 0.00,
  "vol_a3_per_fu": 394.8,
  "e_form_ev_per_fu": 1.5,
  "cell": [[-1.300, 0.487, -5.720], [-3.811, -4.360, 3.524], [-7.096, 8.063, 2.300]],
  "species": ["La", "La", "La", "La", "Pm", "Pm", "Pm", "Pm", "Nd", "Nd", "Nd"],
  "fractional_positions": [[0.760, 0.520, 0.794], [0.760, 0.520, 0.206], [0.883, 0.766, 0.500], [0.957, 0.913, 0.000], [0.605, 0.211, 0.500], [0.550, 0.100, 0.000], [0.107, 0.213, 0.696], [0.107, 0.213, 0.304], [0.409, 0.819, 0.294], [0.409, 0.819, 0.706], [0.251, 0.503, 0.000]]
}

***

{
  "formula": "NdLuRu",
  "functional": "GGA-PBE",
  "state": "relaxed",
  "energy_ha_per_atom": -0.2357,
  "spacegroup": "F-43m",
  "relative_energy_ev_per_atom": 0.0638,
  "magmom_total_mub_per_cell": 0.00,
  "vol_a3_per_fu": 78.8,
  "e_form_ev_per_fu": -0.7,
  "cell": [[-4.599, -1.312, -0.530], [-1.660, -1.254, -4.339], [-1.101, -4.593, -0.920]],
  "species": ["Ru", "Lu", "Nd"],
  "fractional_positions": [[0.250, 0.250, 0.250], [0.000, 0.000, 0.000], [0.500, 0.500, 0.500]]
}

***

{
  "formula": "CsPd3Se",
  "functional": "GGA-PBE",
  "state": "relaxed",
  "energy_ha_per_atom": -0.0962,
  "spacegroup": "Pm-3m",
  "relative_energy_ev_per_atom": 1.4174,
  "magmom_total_mub_per_cell": 0.00,
  "formation_energy_uncorrected_mev_per_atom": 1364.6,
  "vol_a3_per_fu": 143.6,
  "cell": [[-3.174, 4.137, 0.479], [-3.148, -1.989, -3.681], [-2.727, -2.519, 3.693]],
  "species": ["Cs", "Se", "Pd", "Pd", "Pd"],
  "fractional_positions": [[0.000, 0.000, 0.000], [0.500, 0.500, 0.500], [0.000, 0.500, 0.000], [0.000, 0.000, 0.500], [0.500, 0.000, 0.000]]
}

***

{
  "formula": "NbCrC2",
  "functional": "GGA-PBE",
  "state": "relaxed",
  "energy_ha_per_atom": -0.3525,
  "spacegroup": "R3m",
  "magmom_total_mub_per_cell": 0.39,
  "vol_a3_per_fu": 40.4,
  "e_form_ev_per_fu": -0.2,
  "cell": [[-0.778, 2.461, 1.581], [0.904, 0.301, 2.873], [4.275, 3.274, -0.094]],
  "species": ["Nb", "Cr", "C", "C"],
  "fractional_positions": [[0.671, 0.671, 0.987], [0.493, 0.493, 0.522], [0.093, 0.093, 0.721], [0.243, 0.243, 0.270]]
}

***

{
  "formula": "Li4CeIn15",
  "functional": "GGA-PBE",
  "state": "relaxed",
  "energy_ha_per_atom": -0.1070,
  "spacegroup": "P4/mmm",
  "magmom_total_mub_per_cell": 0.61,
  "vol_a3_per_fu": 487.3,
  "e_form_ev_per_fu": -3.6,
  "cell": [[4.557, 0.000, 0.000], [0.000, 4.557, 0.000], [0.000, 0.000, 23.470]],
  "species": ["Li", "Li", "Li", "Li", "Ce", "In", "In", "In", "In", "In", "In", "In", "In", "In", "In", "In", "In", "In", "In", "In"],
  "fractional_positions": [[0.000, 0.000, 0.199], [0.000, 0.000, 0.402], [0.000, 0.000, 0.598], [0.000, 0.000, 0.801], [0.000, 0.000, 0.000], [0.500, 0.500, 0.000], [0.500, 0.500, 0.202], [0.500, 0.500, 0.402], [0.500, 0.500, 0.598], [0.500, 0.500, 0.798], [0.500, 0.000, 0.105], [0.500, 0.000, 0.302], [0.500, 0.000, 0.500], [0.500, 0.000, 0.698], [0.500, 0.000, 0.895], [0.000, 0.500, 0.105], [0.000, 0.500, 0.302], [0.000, 0.500, 0.500], [0.000, 0.500, 0.698], [0.000, 0.500, 0.895]]
}

***

{
  "formula": "CuSb2Se3",
  "functional": "GGA-PBE",
  "state": "relaxed",
  "energy_ha_per_atom": -0.1429,
  "spacegroup": "C2/c",
  "relative_energy_ev_per_atom": 0.0157,
  "magmom_total_mub_per_cell": 0.00,
  "formation_energy_uncorrected_mev_per_atom": -89.7,
  "vol_a3_per_fu": 167.9,
  "cell": [[-1.269, 5.897, -0.909], [-3.885, 3.120, 5.198], [13.337, 8.339, 7.418]],
  "species": ["Cu", "Cu", "Cu", "Cu", "Sb", "Sb", "Sb", "Sb", "Sb", "Sb", "Sb", "Sb", "Se", "Se", "Se", "Se", "Se", "Se", "Se", "Se", "Se", "Se", "Se", "Se"],
  "fractional_positions": [[0.837, 0.868, 0.192], [0.295, 0.868, 0.308], [0.163, 0.132, 0.808], [0.705, 0.132, 0.692], [0.695, 0.356, 0.377], [0.949, 0.356, 0.123], [0.305, 0.644, 0.623], [0.051, 0.644, 0.877], [0.329, 0.818, 0.034], [0.853, 0.818, 0.466], [0.671, 0.182, 0.966], [0.147, 0.182, 0.534], [0.693, 0.614, 0.250], [0.307, 0.386, 0.750], [0.510, 0.385, 0.104], [0.105, 0.385, 0.396], [0.490, 0.615, 0.896], [0.895, 0.615, 0.604], [0.667, 0.188, 0.556], [0.146, 0.188, 0.944], [0.333, 0.812, 0.444], [0.854, 0.812, 0.056], [0.963, 0.074, 0.250], [0.037, 0.926, 0.750]]
}

***

{
  "formula": "Rb4Pr3YSe8",
  "functional": "GGA-PBE",
  "state": "relaxed",
  "energy_ha_per_atom": -0.1844,
  "spacegroup": "R-3m",
  "magmom_total_mub_per_cell": 0.00,
  "formation_energy_uncorrected_mev_per_atom": -1732.7,
  "vol_a3_per_fu": 530.7,
  "cell": [[-3.507, -1.398, -7.880], [-8.343, -1.960, 4.060], [3.667, 7.715, 1.844]],
  "species": ["Rb", "Rb", "Rb", "Rb", "Pr", "Pr", "Pr", "Y", "Se", "Se", "Se", "Se", "Se", "Se", "Se", "Se"],
  "fractional_positions": [[0.500, 0.000, 0.000], [0.500, 0.000, 0.500], [0.000, 0.000, 0.000], [0.000, 0.000, 0.500], [0.500, 0.500, 0.000], [0.500, 0.500, 0.500], [0.000, 0.500, 0.500], [0.000, 0.500, 0.000], [0.229, 0.700, 0.971], [0.229, 0.700, 0.458], [0.265, 0.297, 0.531], [0.742, 0.700, 0.971], [0.258, 0.300, 0.029], [0.735, 0.703, 0.469], [0.771, 0.300, 0.542], [0.771, 0.300, 0.029]]
}